Record 1
{"formula": "La3InO", "functional": "PBE-GGA", "state": "optimized geometry", "energy_ev_per_atom": -5.5460, "formation_energy_uncorrected_ev_per_atom": -1.05, "magmom_total_mub_per_fu": 0.000, "lattice": [[7.011, 0.000, 0.000], [0.000, 7.011, 0.000], [3.506, 3.506, 6.332]], "species": ["In", "In", "O", "O", "La", "La", "La", "La", "La", "La"], "fractional_positions": [[0.627, 0.127, 0.747], [0.873, 0.373, 0.253], [0.000, 0.000, 0.000], [0.250, 0.750, 0.500], [0.625, 0.883, 0.235], [0.117, 0.375, 0.765], [0.117, 0.859, 0.765], [0.141, 0.883, 0.235], [0.373, 0.373, 0.253], [0.627, 0.627, 0.747]]}

***

Record 2
{"formula": "Pm3MgS4", "functional": "PBE-GGA", "state": "optimized geometry", "energy_ev_per_atom": -5.8764, "formation_energy_uncorrected_ev_per_atom": -1.83, "magmom_total_mub_per_fu": 0.000, "lattice": [[-2.682, 1.583, 2.393], [0.050, -0.842, 3.836], [7.105, 10.515, 4.228]], "species": ["Mg", "S", "S", "S", "S", "Pm", "Pm", "Pm"], "fractional_positions": [[0.000, 0.000, 0.000], [0.631, 0.631, 0.108], [0.876, 0.876, 0.371], [0.369, 0.369, 0.892], [0.124, 0.124, 0.629], [0.749, 0.749, 0.753], [0.500, 0.500, 0.500], [0.251, 0.251, 0.247]]}

***

Record 3
{"formula": "Ac2HoPdO6", "functional": "PBE-GGA", "state": "optimized geometry", "energy_ev_per_atom": -7.2812, "formation_energy_uncorrected_ev_per_atom": -2.51, "magmom_total_mub_per_fu": 1.008, "lattice": [[5.725, 0.000, 0.000], [0.000, 6.159, 0.000], [0.000, 0.000, 8.841]], "species": ["Ac", "Ac", "Ac", "Ac", "Ho", "Ho", "Pd", "Pd", "O", "O", "O", "O", "O", "O", "O", "O", "O", "O", "O", "O"], "fractional_positions": [[0.500, 0.792, 0.213], [0.000, 0.208, 0.713], [0.500, 0.792, 0.787], [0.000, 0.208, 0.287], [0.000, 0.724, 0.500], [0.500, 0.276, 0.000], [0.500, 0.234, 0.500], [0.000, 0.766, 0.000], [0.500, 0.195, 0.243], [0.500, 0.195, 0.757], [0.000, 0.805, 0.257], [0.000, 0.805, 0.743], [0.242, 0.008, 0.500], [0.758, 0.008, 0.500], [0.239, 0.454, 0.500], [0.761, 0.454, 0.500], [0.739, 0.546, 0.000], [0.261, 0.546, 0.000], [0.258, 0.992, 0.000], [0.742, 0.992, 0.000]]}

***

Record 4
{"formula": "Dy6Cu5Ir", "functional": "PBE-GGA", "state": "optimized geometry", "energy_ev_per_atom": -5.1189, "magmom_total_mub_per_fu": 0.000, "delta_e_f_ev_per_atom": -0.373, "lattice": [[-3.919, -2.784, -0.896], [3.807, -4.002, -4.214], [1.815, -0.909, 8.230]], "species": ["Ir", "Cu", "Cu", "Cu", "Cu", "Cu", "Dy", "Dy", "Dy", "Dy", "Dy", "Dy"], "fractional_positions": [[0.000, 0.000, 0.000], [0.671, 0.171, 0.342], [0.334, 0.334, 0.669], [0.000, 0.500, 0.000], [0.666, 0.666, 0.331], [0.329, 0.829, 0.658], [0.836, 0.589, 0.672], [0.836, 0.083, 0.672], [0.500, 0.755, 0.000], [0.500, 0.245, 0.000], [0.164, 0.917, 0.328], [0.164, 0.411, 0.328]]}

***

Record 5
{"formula": "Si3WBr", "functional": "PBE-GGA", "state": "optimized geometry", "energy_ev_per_atom": -4.1042, "formation_energy_uncorrected_ev_per_atom": 2.07, "de_polymorph_mev_per_atom": 1571.2, "magmom_total_mub_per_fu": 2.170, "lattice": [[-2.272, 2.939, -2.873], [-4.040, -2.200, 0.945], [-0.755, 2.928, 3.593]], "species": ["Si", "Si", "Si", "Br", "W"], "fractional_positions": [[0.000, 0.500, 0.000], [0.000, 0.000, 0.500], [0.500, 0.000, 0.000], [0.000, 0.000, 0.000], [0.500, 0.500, 0.500]]}

***

Record 6
{"formula": "FeMo2Cl", "functional": "PBE-GGA", "state": "optimized geometry", "energy_ev_per_atom": -7.6296, "formation_energy_uncorrected_ev_per_atom": 0.36, "de_polymorph_mev_per_atom": 78.4, "magmom_total_mub_per_fu": 1.155, "lattice": [[-1.498, -2.176, 1.185], [2.399, -0.929, 1.327], [-1.446, 3.909, 5.350]], "species": ["Mo", "Mo", "Fe", "Cl"], "fractional_positions": [[0.000, 0.000, 0.984], [0.000, 0.000, 0.516], [0.500, 0.500, 0.750], [0.500, 0.500, 0.250]]}